GaCuTcPt (PBE, optimized geometry); ΔE to the lowest computed polymorph = 0.0000 eV per atom; E_tot = -0.2127 hartree per atom
1.0
1.5987 -3.4306 2.1588
-2.1139 -1.5665 3.4731
-2.0181 -3.8546 -0.2337
Cu Ga Pt Tc
1 1 1 1
direct
0.7500 0.7500 0.7500
0.0000 0.0000 0.0000
0.5000 0.5000 0.5000
0.2500 0.2500 0.2500